Entry 1:
The following is a GGA-PBE calculation of Er2GaSi2Rh5 after structural relaxation, from Alexandria via LeMat-Bulk.

a b c (Å): 9.668 9.668 3.454
angles (deg): 90.00 90.00 90.00
Atoms (fractional coordinates):
1 Er 0.174 0.326 0.000
2 Er 0.326 0.826 0.000
3 Er 0.674 0.174 0.000
4 Er 0.826 0.674 0.000
5 Ga 0.000 0.000 0.000
6 Ga 0.500 0.500 0.000
7 Si 0.124 0.624 0.000
8 Si 0.376 0.124 0.000
9 Si 0.624 0.876 0.000
10 Si 0.876 0.376 0.000
11 Rh 0.000 0.500 0.500
12 Rh 0.069 0.790 0.500
13 Rh 0.210 0.069 0.500
14 Rh 0.290 0.569 0.500
15 Rh 0.431 0.290 0.500
16 Rh 0.500 0.000 0.500
17 Rh 0.569 0.710 0.500
18 Rh 0.710 0.431 0.500
19 Rh 0.790 0.931 0.500
20 Rh 0.931 0.210 0.500

calculated volume	16.15	Å³/atom
ΔE_f (raw)	-980	meV per atom
uncorrected energy	-6.96	eV/atom
D(E_F)	0.315	states/eV per atom

Entry 2:
The following is a GGA-PBE calculation of Er2Ga2SnRh5 after structural relaxation, from Alexandria via LeMat-Bulk.

a b c (Å): 9.771 9.771 3.600
angles (deg): 90.00 90.00 90.00
Atoms (fractional coordinates):
1 Er 0.174 0.326 0.000
2 Er 0.326 0.826 0.000
3 Er 0.674 0.174 0.000
4 Er 0.826 0.674 0.000
5 Ga 0.123 0.623 0.000
6 Ga 0.377 0.123 0.000
7 Ga 0.623 0.877 0.000
8 Ga 0.877 0.377 0.000
9 Sn 0.000 0.000 0.000
10 Sn 0.500 0.500 0.000
11 Rh 0.000 0.500 0.500
12 Rh 0.070 0.793 0.500
13 Rh 0.207 0.070 0.500
14 Rh 0.293 0.570 0.500
15 Rh 0.430 0.293 0.500
16 Rh 0.500 0.000 0.500
17 Rh 0.570 0.707 0.500
18 Rh 0.707 0.430 0.500
19 Rh 0.793 0.930 0.500
20 Rh 0.930 0.207 0.500

calculated volume	17.18	Å³/atom
uncorrected energy	-6.44	eV/atom
D(E_F)	0.268	states/eV per atom

Entry 3:
The following is a GGA-PBE calculation of ErGaSn2Rh4 after structural relaxation, from Alexandria via LeMat-Bulk.

a b c (Å): 8.043 8.043 8.043
angles (deg): 32.94 32.94 32.94
Atoms (fractional coordinates):
1 Er 0.000 0.000 0.000
2 Ga 0.500 0.500 0.500
3 Sn 0.252 0.252 0.252
4 Sn 0.748 0.748 0.748
5 Rh 0.131 0.131 0.131
6 Rh 0.392 0.392 0.392
7 Rh 0.608 0.608 0.608
8 Rh 0.869 0.869 0.869

calculated volume	17.11	Å³/atom
uncorrected energy	-6.29	eV/atom
D(E_F)	0.758	states/eV per atom

Entry 4:
The following is a GGA-PBE calculation of ErThGaRh after structural relaxation, from Alexandria via LeMat-Bulk.

a b c (Å): 5.047 5.047 5.047
angles (deg): 60.00 60.00 60.00
Atoms (fractional coordinates):
1 Er 0.000 0.000 0.000
2 Th 0.500 0.500 0.500
3 Ga 0.750 0.750 0.750
4 Rh 0.250 0.250 0.250

calculated volume	22.72	Å³/atom
uncorrected energy	-6.18	eV/atom
D(E_F)	0.651	states/eV per atom

Entry 5:
The following is a GGA-PBE calculation of Er2TmGa2Rh5 after structural relaxation, from Alexandria via LeMat-Bulk.

a b c (Å): 9.972 9.972 3.571
angles (deg): 90.00 90.00 90.00
Atoms (fractional coordinates):
1 Er 0.173 0.327 0.000
2 Er 0.327 0.827 0.000
3 Er 0.673 0.173 0.000
4 Er 0.827 0.673 0.000
5 Tm 0.000 0.000 0.000
6 Tm 0.500 0.500 0.000
7 Ga 0.124 0.624 0.000
8 Ga 0.376 0.124 0.000
9 Ga 0.624 0.876 0.000
10 Ga 0.876 0.376 0.000
11 Rh 0.000 0.500 0.500
12 Rh 0.071 0.790 0.500
13 Rh 0.210 0.071 0.500
14 Rh 0.290 0.571 0.500
15 Rh 0.429 0.290 0.500
16 Rh 0.500 0.000 0.500
17 Rh 0.571 0.710 0.500
18 Rh 0.710 0.429 0.500
19 Rh 0.790 0.929 0.500
20 Rh 0.929 0.210 0.500

calculated volume	17.76	Å³/atom
uncorrected energy	-6.51	eV/atom
D(E_F)	0.550	states/eV per atom

Entry 6:
The following is a GGA-PBE calculation of ErTm2Ga2Rh5 after structural relaxation, from Alexandria via LeMat-Bulk.

a b c (Å): 9.955 9.955 3.575
angles (deg): 90.00 90.00 90.00
Atoms (fractional coordinates):
1 Er 0.000 0.000 0.000
2 Er 0.500 0.500 0.000
3 Tm 0.173 0.327 0.000
4 Tm 0.327 0.827 0.000
5 Tm 0.673 0.173 0.000
6 Tm 0.827 0.673 0.000
7 Ga 0.124 0.624 0.000
8 Ga 0.376 0.124 0.000
9 Ga 0.624 0.876 0.000
10 Ga 0.876 0.376 0.000
11 Rh 0.000 0.500 0.500
12 Rh 0.072 0.790 0.500
13 Rh 0.210 0.072 0.500
14 Rh 0.290 0.572 0.500
15 Rh 0.428 0.290 0.500
16 Rh 0.500 0.000 0.500
17 Rh 0.572 0.710 0.500
18 Rh 0.710 0.428 0.500
19 Rh 0.790 0.928 0.500
20 Rh 0.928 0.210 0.500

calculated volume	17.71	Å³/atom
uncorrected energy	-6.50	eV/atom
D(E_F)	0.531	states/eV per atom

- Which of these has the highest uncorrected energy?
  ErThGaRh

- Which formula does entry 2 have?
  Er2Ga2SnRh5